# TbNd3Th2

A geometry-optimized TbNd3Th2 structure (PBE, Alexandria).

Calculated values
DFT total energy	-5.56	eV/atom
distance to the lowest polymorph of the same formula	23	meV per atom
energy of formation from the pure elements	39	kJ/mol of formula units

a = 5.117 Å, b = 5.156 Å, c = 8.070 Å
α = 90.00°, β = 108.48°, γ = 90.00°
Element x y z (fractional)
1 Nd 0.669 0.000 0.338
2 Nd 0.500 0.500 0.000
3 Nd 0.331 0.000 0.662
4 Th 0.168 0.500 0.336
5 Th 0.832 0.500 0.664
6 Tb 0.000 0.000 0.000



# CuOs3Cl

A geometry-optimized CuOs3Cl structure (PBE, Alexandria).

Calculated values
DFT total energy	-5.31	eV/atom
E_form (uncorrected)	2.612	eV/atom

a = 4.583 Å, b = 4.583 Å, c = 4.583 Å
α = 90.00°, β = 90.00°, γ = 90.00°
Element x y z (fractional)
1 Cl 0.500 0.500 0.500
2 Os 0.000 0.500 0.000
3 Os 0.000 0.000 0.500
4 Os 0.500 0.000 0.000
5 Cu 0.000 0.000 0.000



# RbLi

A geometry-optimized RbLi structure (PBE, Alexandria).

Calculated values
DFT total energy	-1.12	eV/atom
energy of formation from the pure elements	62	kJ/mol of formula units

a = 4.228 Å, b = 4.228 Å, c = 13.851 Å
α = 90.00°, β = 90.00°, γ = 120.00°
Element x y z (fractional)
1 Li 0.333 0.667 0.407
2 Li 0.667 0.333 0.907
3 Rb 0.333 0.667 0.675
4 Rb 0.667 0.333 0.175



# Au2BrCl

A geometry-optimized Au2BrCl structure (PBE, Alexandria).

Calculated values
DFT total energy	-2.38	eV/atom
E_form (uncorrected)	0.140	eV/atom
distance to the lowest polymorph of the same formula	242	meV per atom

a = 3.745 Å, b = 5.284 Å, c = 5.392 Å
α = 89.77°, β = 90.00°, γ = 90.00°
Element x y z (fractional)
1 Cl 0.500 0.750 0.750
2 Br 0.500 0.250 0.250
3 Au 0.000 0.055 0.937
4 Au 0.000 0.445 0.563



| no. | D(E_F) (states/eV/atom) |
| --- | --- |
| 1 | 1.417 |
| 2 | 1.775 |
| 3 | 0.931 |
| 4 | 0.305 |